No. 1
Here is crystalline BaZr3Ru at its relaxed geometry from Alexandria. Energies are from PBE-GGA.

Structure (POSCAR):
```
BaZr3Ru
1.0
5.1761 0.0000 0.0000
0.0000 5.1761 0.0000
0.0000 0.0000 5.1761
Ba Zr Ru
1 3 1
Direct
0.0000 0.0000 0.0000
0.0000 0.0000 0.5000
0.0000 0.5000 0.0000
0.5000 0.0000 0.0000
0.5000 0.5000 0.5000
```

Properties
* space-group type: Pm-3m
* total energy: -5.15 eV per atom
* ΔE to the lowest computed polymorph: 1969.4 meV per atom
* energy of formation: 2.22 eV/atom



No. 2
Here is crystalline CaLa7Ho2 at its relaxed geometry from Alexandria. Energies are from PBE-GGA.

Structure (POSCAR):
```
CaLa7Ho2
1.0
4.6430 -7.9825 0.0000
4.6430 7.9825 0.0000
0.0000 0.0000 5.9982
Ca La Ho
1 7 2
Direct
0.0000 0.0000 0.0000
0.0654 0.3045 0.5000
0.2556 0.7444 0.0000
0.3045 0.0654 0.5000
0.5000 0.5000 0.5000
0.6955 0.9346 0.5000
0.7444 0.2556 0.0000
0.9346 0.6955 0.5000
0.2965 0.7035 0.5000
0.7035 0.2965 0.5000
```

Properties
* space-group type: Cmmm
* total energy: -4.02 eV per atom
* energy of formation: 0.54 eV/atom



No. 3
Here is crystalline Pr5NdY5 at its relaxed geometry from Alexandria. Energies are from PBE-GGA.

Structure (POSCAR):
```
Pr5NdY5
1.0
6.1955 0.0000 0.0000
-3.0977 5.3654 0.0000
0.0000 0.0000 11.9808
Pr Nd Y
5 1 5
Direct
0.0000 0.0000 0.0000
0.3333 0.6667 0.3172
0.3333 0.6667 0.6828
0.6667 0.3333 0.1538
0.6667 0.3333 0.8462
0.3333 0.6667 0.0000
0.0000 0.0000 0.2631
0.0000 0.0000 0.7369
0.3325 0.1663 0.5000
0.8337 0.1663 0.5000
0.8337 0.6675 0.5000
```

Properties
* space-group type: P-6m2
* total energy: -5.25 eV per atom
* ΔE to the lowest computed polymorph: 45.0 meV per atom
* energy of formation: 0.29 eV/atom



No. 4
Here is crystalline ErZrMnZn at its relaxed geometry from Alexandria. Energies are from PBE-GGA.

Structure (POSCAR):
```
ErZrMnZn
1.0
6.7777 0.0000 0.0000
0.0000 6.7777 0.0000
0.0000 0.0000 6.7777
Er Zr Mn Zn
4 4 4 4
Direct
0.0000 0.0000 0.0000
0.0000 0.5000 0.5000
0.5000 0.0000 0.5000
0.5000 0.5000 0.0000
0.0000 0.0000 0.5000
0.0000 0.5000 0.0000
0.5000 0.0000 0.0000
0.5000 0.5000 0.5000
0.2500 0.2500 0.2500
0.2500 0.7500 0.7500
0.7500 0.2500 0.7500
0.7500 0.7500 0.2500
0.2500 0.2500 0.7500
0.2500 0.7500 0.2500
0.7500 0.2500 0.2500
0.7500 0.7500 0.7500
```

Properties
* space-group type: F-43m
* total energy: -5.92 eV per atom
* energy of formation: -0.03 eV/atom



No. 5
Here is crystalline DyTe2O6 at its relaxed geometry from Alexandria. Energies are from PBE-GGA.

Structure (POSCAR):
```
DyTe2O6
1.0
5.7039 -4.1124 0.0000
5.7039 4.1124 0.0000
-3.5942 0.0000 6.8784
Dy Te O
2 4 12
Direct
0.0753 0.9247 0.7500
0.9247 0.0753 0.2500
0.2789 0.3322 0.7335
0.3322 0.2789 0.2335
0.6678 0.7211 0.7665
0.7211 0.6678 0.2665
0.0592 0.1786 0.6003
0.1160 0.5997 0.7284
0.1786 0.0592 0.1003
0.2751 0.3824 0.0101
0.3824 0.2751 0.5101
0.4003 0.8840 0.7716
0.5997 0.1160 0.2284
0.6176 0.7249 0.4899
0.7249 0.6176 0.9899
0.8214 0.9408 0.8997
0.8840 0.4003 0.2716
0.9408 0.8214 0.3997
```

Properties
* space-group type: C2/c
* total energy: -6.15 eV per atom
* formation energy without anion corrections: -1636 meV per atom



No. 6
Here is crystalline AcPr3Er at its relaxed geometry from Alexandria. Energies are from PBE-GGA.

Structure (POSCAR):
```
AcPr3Er
1.0
4.1401 -7.4814 0.0000
4.1401 7.4814 0.0000
0.0000 0.0000 6.2915
Ac Pr Er
2 6 2
Direct
0.2033 0.7967 0.7500
0.7967 0.2033 0.2500
0.0000 0.0000 0.0000
0.0000 0.0000 0.5000
0.2091 0.3977 0.7500
0.3977 0.2091 0.2500
0.6023 0.7909 0.7500
0.7909 0.6023 0.2500
0.3541 0.6459 0.2500
0.6459 0.3541 0.7500
```

Properties
* space-group type: Cmcm
* total energy: -4.27 eV per atom
* ΔE to the lowest computed polymorph: 251.5 meV per atom
* energy of formation: 0.34 eV/atom



| no. | magnetization (μB/f.u.) |
| --- | --- |
| 1 | 0.0 |
| 2 | 0.0 |
| 3 | 0.0 |
| 4 | 1.6 |
| 5 | 0.0 |
| 6 | 0.0 |